(1)
A plane-wave DFT calculation with PBE-GGA was carried out for a relaxed AlCr2Ag crystal.

Structure (POSCAR):
```
AlCr2Ag
1.0
-1.240 3.523 3.222
2.581 -3.877 1.624
2.301 1.228 -0.188
Cr Al Ag
2 1 1
Direct
0.000 0.000 0.000 Cr
0.500 0.500 0.000 Cr
0.000 0.500 0.500 Al
0.500 0.000 0.500 Ag
```

Values from the calculation:
As for the space group: C2/m. Its density of states at the Fermi level is 1.9 states/eV per cell. As for the crystal system: monoclinic. The calculation puts the formation energy at 0.3398 eV/atom.



(2)
A plane-wave DFT calculation with PBE-GGA was carried out for a relaxed SrTaTl crystal.

Structure (POSCAR):
```
SrTaTl
1.0
6.564 0.009 -0.004
4.407 4.864 0.004
-5.207 -3.062 2.566
Sr Ta Tl
1 1 1
Direct
0.000 0.000 0.000 Sr
0.303 0.303 0.000 Ta
0.697 0.697 0.000 Tl
```

Values from the calculation:
As for the space group: Imm2. Its density of states at the Fermi level is 3.0 states/eV per cell. The energy above the most stable polymorph in this dataset is 63 meV/atom. As for the crystal system: orthorhombic. The calculation puts the formation energy at 0.6523 eV/atom.



(3)
A plane-wave DFT calculation with PBE-GGA was carried out for a relaxed SrTa2NbBr crystal.

Structure (POSCAR):
```
SrTa2NbBr
1.0
-1.783 2.902 3.553
-2.445 -4.685 2.600
4.107 -0.688 2.623
Sr Nb Br Ta
1 1 1 2
Direct
0.500 0.500 0.500 Sr
0.000 0.000 0.000 Nb
0.000 0.500 0.000 Br
0.000 0.000 0.500 Ta
0.500 0.000 0.000 Ta
```

Values from the calculation:
For the uncorrected formation energy, the calculation gives 988.2 meV/atom. As for the space group: P4/mmm. Its density of states at the Fermi level is 2.0 states/eV per cell. As for the crystal system: tetragonal.



(4)
A plane-wave DFT calculation with PBE-GGA was carried out for a relaxed GdLu2Rh crystal.

Structure (POSCAR):
```
GdLu2Rh
1.0
-1.035 -3.257 -0.141
3.083 -1.026 1.068
-2.665 0.492 8.163
Rh Gd Lu
1 1 2
Direct
0.500 0.500 0.000 Rh
0.500 0.500 0.500 Gd
0.000 0.000 0.187 Lu
0.000 0.000 0.813 Lu
```

Values from the calculation:
As for the space group: P4/mmm. Its density of states at the Fermi level is 5.0 states/eV per cell. As for the crystal system: tetragonal. The calculation puts the formation energy at -0.4814 eV/atom.